No. 1
Density functional theory data (PBE-GGA) for Ac3Tl2Pd2Au4 after structural relaxation.

Lattice parameters (Å, degrees): 4.756 4.756 15.428 90.00 90.00 120.00
Sites, in units of the cell vectors:
Au1 0.667 0.333 0.126
Pd1 0.333 0.667 0.133
Tl1 0.333 0.667 0.565
Au2 0.333 0.667 0.874
Au3 0.667 0.333 0.634
Ac1 0.000 0.000 0.254
Ac2 0.000 0.000 0.746
Pd2 0.667 0.333 0.867
Ac3 0.000 0.000 0.000
Tl2 0.667 0.333 0.435
Au4 0.333 0.667 0.366

## Properties
As for the total moment: 0.00 μB/f.u. The total energy is -4.3138 eV per atom. Its space-group type is No. 164. The value obtained for the density of states at the Fermi level is 5.86 states/eV/f.u.

***

No. 2
Density functional theory data (PBE-GGA) for Ac2TmPd3Au12 after structural relaxation.

Lattice parameters (Å, degrees): 8.517 8.517 8.517 62.69 62.69 62.69
Sites, in units of the cell vectors:
Au1 0.861 0.861 0.390
Pd1 0.000 0.500 0.000
Pd2 0.500 0.000 0.000
Au2 0.866 0.364 0.364
Ac1 0.391 0.391 0.391
Au3 0.134 0.636 0.636
Tm1 0.000 0.000 0.000
Au4 0.636 0.134 0.636
Au5 0.364 0.866 0.364
Au6 0.390 0.861 0.861
Ac2 0.609 0.609 0.609
Pd3 0.000 0.000 0.500
Au7 0.636 0.636 0.134
Au8 0.364 0.364 0.866
Au9 0.139 0.139 0.610
Au10 0.861 0.390 0.861
Au11 0.610 0.139 0.139
Au12 0.139 0.610 0.139

## Properties
As for the total moment: 0.00 μB/f.u. The total energy is -3.8580 eV per atom. Its space-group type is No. 166. The value obtained for the density of states at the Fermi level is 8.96 states/eV/f.u.